CuSn4Pd GGA-PBE optimized geometry; symmetry = P2_1/c; energy above the most stable polymorph in this dataset = 61 meV per atom; mass density = 7.6 Mg/m³; DOS at the Fermi energy = 5.8 states/eV per cell; crystal system = monoclinic; formation energy = -85 meV/atom
1.0
6.534 0.000 0.000
0.000 6.605 0.000
-0.194 0.000 6.546
Cu Sn Pd
2 8 2
direct
0.000 0.000 0.000
0.000 0.500 0.500
0.127 0.139 0.368
0.127 0.361 0.868
0.361 0.633 0.365
0.361 0.867 0.865
0.639 0.133 0.135
0.639 0.367 0.635
0.873 0.639 0.132
0.873 0.861 0.632
0.500 0.000 0.500
0.500 0.500 0.000



CuSn4Pd7 GGA-PBE optimized geometry; symmetry = C2/m; mass density = 9.5 Mg/m³; DOS at the Fermi energy = 4.6 states/eV per cell; crystal system = monoclinic; formation energy = -311 meV/atom
1.0
5.609 -2.410 0.000
5.609 2.410 0.000
-4.874 0.000 8.289
Cu Sn Pd
1 4 7
direct
0.000 0.000 0.000
0.257 0.257 0.673
0.413 0.413 0.222
0.587 0.587 0.778
0.743 0.743 0.327
0.083 0.083 0.313
0.200 0.200 0.910
0.365 0.365 0.473
0.500 0.500 0.000
0.635 0.635 0.527
0.800 0.800 0.090
0.917 0.917 0.687



CuSn2Pd8 GGA-PBE optimized geometry; symmetry = Immm; energy above the most stable polymorph in this dataset = 0 meV per atom; mass density = 10.5 Mg/m³; DOS at the Fermi energy = 4.7 states/eV per cell; crystal system = orthorhombic; formation energy = -340 meV/atom
1.0
-2.118 3.645 5.903
2.118 -3.645 5.903
2.118 3.645 -5.903
Cu Sn Pd
1 2 8
direct
0.000 0.000 0.000
0.309 0.309 0.000
0.691 0.691 0.000
0.116 0.846 0.271
0.145 0.645 0.500
0.294 0.500 0.794
0.425 0.154 0.271
0.575 0.846 0.729
0.706 0.500 0.206
0.855 0.355 0.500
0.884 0.154 0.729



Cu23SnPd6 GGA-PBE optimized geometry; symmetry = Fm-3m; mass density = 9.3 Mg/m³; DOS at the Fermi energy = 12.3 states/eV per cell; crystal system = cubic; formation energy = -33 meV/atom
1.0
0.000 5.831 5.831
5.831 0.000 5.831
5.831 5.831 0.000
Cu Sn Pd
23 1 6
direct
0.000 0.000 0.000
0.000 0.000 0.500
0.000 0.500 0.000
0.000 0.500 0.500
0.005 0.665 0.665
0.122 0.122 0.122
0.122 0.122 0.633
0.122 0.633 0.122
0.335 0.335 0.335
0.335 0.335 0.995
0.335 0.995 0.335
0.367 0.878 0.878
0.500 0.000 0.000
0.500 0.000 0.500
0.500 0.500 0.000
0.633 0.122 0.122
0.665 0.005 0.665
0.665 0.665 0.005
0.665 0.665 0.665
0.878 0.367 0.878
0.878 0.878 0.367
0.878 0.878 0.878
0.995 0.335 0.335
0.500 0.500 0.500
0.271 0.271 0.729
0.271 0.729 0.271
0.271 0.729 0.729
0.729 0.271 0.271
0.729 0.271 0.729
0.729 0.729 0.271



Cu3SnPd5 GGA-PBE optimized geometry; symmetry = C2/m; mass density = 9.1 Mg/m³; DOS at the Fermi energy = 13.6 states/eV per cell; crystal system = monoclinic; formation energy = 124 meV/atom
1.0
4.089 -3.573 0.000
4.089 3.573 0.000
-1.179 0.000 10.465
Cu Sn Pd
6 2 10
direct
0.000 0.000 0.000
0.000 0.000 0.500
0.251 0.251 0.373
0.319 0.319 0.984
0.681 0.681 0.016
0.749 0.749 0.627
0.054 0.054 0.766
0.946 0.946 0.234
0.016 0.590 0.833
0.276 0.276 0.619
0.320 0.680 0.500
0.410 0.984 0.167
0.475 0.475 0.203
0.525 0.525 0.797
0.590 0.016 0.833
0.680 0.320 0.500
0.724 0.724 0.381
0.984 0.410 0.167



Cu2Sn2Pd GGA-PBE optimized geometry; symmetry = I4/mmm; energy above the most stable polymorph in this dataset = 0 meV per atom; mass density = 8.6 Mg/m³; DOS at the Fermi energy = 2.2 states/eV per cell; crystal system = tetragonal; formation energy = -51 meV/atom
1.0
-1.686 1.686 8.009
1.686 -1.686 8.009
1.686 1.686 -8.009
Cu Sn Pd
2 2 1
direct
0.250 0.750 0.500
0.750 0.250 0.500
0.106 0.106 0.000
0.894 0.894 0.000
0.500 0.500 0.000